Entry 1:
An optimized crystal structure of Ca5ZnCu2, computed with PBE-GGA.

## Properties
ΔE_f in eV per atom: -0.155
Crystal system: tetragonal

a = 7.822 Å, b = 7.822 Å, c = 9.179 Å
α = 115.22°, β = 115.22°, γ = 90.00°
Sites, in units of the cell vectors:
Ca  0.028  0.528  0.716
Ca  0.972  0.472  0.284
Ca  0.000  0.000  0.000
Ca  0.472  0.312  0.284
Ca  0.812  0.972  0.284
Ca  0.312  0.812  0.284
Ca  0.500  0.500  0.000
Ca  0.528  0.688  0.716
Ca  0.688  0.188  0.716
Ca  0.188  0.028  0.716
Zn  0.250  0.250  0.500
Zn  0.750  0.750  0.500
Cu  0.886  0.614  0.000
Cu  0.614  0.114  0.000
Cu  0.386  0.886  0.000
Cu  0.114  0.386  0.000

***

Entry 2:
An optimized crystal structure of PmTcN2, computed with PBE-GGA.

## Properties
Formation energy without anion corrections in eV per atom: -0.39
Crystal system: monoclinic

a = 3.067 Å, b = 3.255 Å, c = 5.865 Å
α = 106.11°, β = 101.52°, γ = 89.93°
Sites, in units of the cell vectors:
Pm  0.302  0.896  0.257
N  0.485  0.232  0.930
N  0.878  0.508  0.482
Tc  0.470  0.638  0.743